# K3H3Pd GGA-PBEsol relaxed
# - density (g/cm3) = 2.69
# - raw total energy (eV for the cell shown) = -165.49
data_K3H3Pd
_symmetry_space_group_name_H-M 'P 42/m n m'
_symmetry_Int_Tables_number 136
_symmetry_space_group_name_Hall '-P 4n 2n'
_cell_length_a 10.571
_cell_length_b 10.571
_cell_length_c 10.027
_cell_angle_alpha 90.00
_cell_angle_beta 90.00
_cell_angle_gamma 90.00
loop_
_atom_site_label
_atom_site_type_symbol
_atom_site_fract_x
_atom_site_fract_y
_atom_site_fract_z
K1 K 0.004 0.252 0.211
K2 K 0.206 0.206 0.500
K3 K 0.207 0.793 0.500
H1 H 0.000 0.000 0.333
H2 H 0.000 0.343 0.500
H3 H 0.112 0.112 0.000
H4 H 0.245 0.755 0.245
Pd1 Pd 0.000 0.000 0.000
Pd2 Pd 0.000 0.000 0.500
Pd3 Pd 0.000 0.500 0.000

---

# K2H6Pt GGA-PBEsol relaxed
# - density (g/cm3) = 3.72
# - raw total energy (eV for the cell shown) = -130.98
data_K2H6Pt
_symmetry_space_group_name_H-M 'F m -3 m'
_symmetry_Int_Tables_number 225
_symmetry_space_group_name_Hall '-F 4 2 3'
_cell_length_a 7.933
_cell_length_b 7.933
_cell_length_c 7.933
_cell_angle_alpha 90.00
_cell_angle_beta 90.00
_cell_angle_gamma 90.00
loop_
_atom_site_label
_atom_site_type_symbol
_atom_site_fract_x
_atom_site_fract_y
_atom_site_fract_z
K1 K 0.250 0.250 0.250
H1 H 0.000 0.000 0.208
Pt1 Pt 0.000 0.000 0.000

---

# K3H5Pt GGA-PBEsol relaxed
# - density (g/cm3) = 3.61
# - raw total energy (eV for the cell shown) = -59.91
data_K3H5Pt
_symmetry_space_group_name_H-M 'P 4/m b m'
_symmetry_Int_Tables_number 127
_symmetry_space_group_name_Hall '-P 4 2ab'
_cell_length_a 7.209
_cell_length_b 7.209
_cell_length_c 5.625
_cell_angle_alpha 90.00
_cell_angle_beta 90.00
_cell_angle_gamma 90.00
loop_
_atom_site_label
_atom_site_type_symbol
_atom_site_fract_x
_atom_site_fract_y
_atom_site_fract_z
K1 K 0.000 0.000 0.000
K2 K 0.184 0.316 0.500
H1 H 0.000 0.000 0.500
H2 H 0.116 0.616 0.204
Pt1 Pt 0.000 0.500 0.000

---

# KZrH2Pt GGA-PBEsol relaxed
# - density (g/cm3) = 6.03
# - raw total energy (eV for the cell shown) = -23.35
data_KZrH2Pt
_symmetry_space_group_name_H-M 'P 4/m m m'
_symmetry_Int_Tables_number 123
_symmetry_space_group_name_Hall '-P 4 2'
_cell_length_a 4.231
_cell_length_b 4.231
_cell_length_c 5.033
_cell_angle_alpha 90.00
_cell_angle_beta 90.00
_cell_angle_gamma 90.00
loop_
_atom_site_label
_atom_site_type_symbol
_atom_site_fract_x
_atom_site_fract_y
_atom_site_fract_z
K1 K 0.000 0.000 0.000
Zr1 Zr 0.500 0.500 0.500
H1 H 0.000 0.500 0.500
Pt1 Pt 0.500 0.500 0.000

---

# K2ReH9 GGA-PBEsol relaxed
# - density (g/cm3) = 3.42
# - raw total energy (eV for the cell shown) = -146.18
data_K2ReH9
_symmetry_space_group_name_H-M 'P -6 2 m'
_symmetry_Int_Tables_number 189
_symmetry_space_group_name_Hall 'P -6 -2'
_cell_length_a 9.2655
_cell_length_b 9.2655
_cell_length_c 5.3598
_cell_angle_alpha 90.00
_cell_angle_beta 90.00
_cell_angle_gamma 120.00
loop_
_atom_site_label
_atom_site_type_symbol
_atom_site_fract_x
_atom_site_fract_y
_atom_site_fract_z
K1 K 0.0000 0.4079 0.0000
K2 K 0.0000 0.7366 0.5000
Re1 Re 0.0000 0.0000 0.0000
Re2 Re 0.3333 0.6667 0.5000
H1 H 0.0000 0.1309 0.2217
H2 H 0.0000 0.8184 0.0000
H3 H 0.1363 0.5069 0.5000
H4 H 0.2224 0.6936 0.2690

---

# K2ReH GGA-PBEsol relaxed
# - density (g/cm3) = 3.76
# - raw total energy (eV for the cell shown) = -56.22
data_K2ReH
_symmetry_space_group_name_H-M 'I -4 2 d'
_symmetry_Int_Tables_number 122
_symmetry_space_group_name_Hall 'I -4 2bw'
_cell_length_a 11.660
_cell_length_b 11.660
_cell_length_c 3.446
_cell_angle_alpha 90.00
_cell_angle_beta 90.00
_cell_angle_gamma 90.00
loop_
_atom_site_label
_atom_site_type_symbol
_atom_site_fract_x
_atom_site_fract_y
_atom_site_fract_z
K1 K 0.063 0.750 0.125
Re1 Re 0.000 0.000 0.500
H1 H 0.000 0.000 0.000

---

# KH3Rh GGA-PBEsol relaxed
# - density (g/cm3) = 3.57
# - raw total energy (eV for the cell shown) = -40.65
data_KH3Rh
_symmetry_space_group_name_H-M 'P 63/m m c'
_symmetry_Int_Tables_number 194
_symmetry_space_group_name_Hall '-P 6c 2c'
_cell_length_a 5.4763
_cell_length_b 5.4763
_cell_length_c 5.1957
_cell_angle_alpha 90.00
_cell_angle_beta 90.00
_cell_angle_gamma 120.00
loop_
_atom_site_label
_atom_site_type_symbol
_atom_site_fract_x
_atom_site_fract_y
_atom_site_fract_z
K1 K 0.3333 0.6667 0.2500
H1 H 0.1256 0.2513 0.7500
Rh1 Rh 0.0000 0.0000 0.0000

---

# K3HRh GGA-PBEsol relaxed
# - relative energy among the computed polymorphs (meV/atom) = 0
# - density (g/cm3) = 2.67
data_K3HRh
_symmetry_space_group_name_H-M 'P m -3 m'
_symmetry_Int_Tables_number 221
_symmetry_space_group_name_Hall '-P 4 2 3'
_cell_length_a 5.163
_cell_length_b 5.163
_cell_length_c 5.163
_cell_angle_alpha 90.00
_cell_angle_beta 90.00
_cell_angle_gamma 90.00
loop_
_atom_site_label
_atom_site_type_symbol
_atom_site_fract_x
_atom_site_fract_y
_atom_site_fract_z
K1 K 0.000 0.000 0.500
H1 H 0.000 0.000 0.000
Rh1 Rh 0.500 0.500 0.500